No. 1
6
Lattice="3.930 1.951 4.548 -0.345 5.936 2.142 -2.209 1.139 5.810" Properties=species:S:1:pos:R:3 comment="MnPPb4 PBE relaxed" crystal_system=cubic e_form_ev_per_atom=0.788 spacegroup="No. 216" e_tot_ev_per_cell=-24.683 pbc="T T T"
Mn 1.032 6.770 9.375
P 0.000 0.000 0.000
Pb 2.477 4.361 6.960
Pb -0.586 3.956 7.590
Pb 0.344 6.349 5.760
Pb 0.516 3.387 4.691

=====

No. 2
5
Lattice="-2.799 -2.437 1.498 -0.729 -1.418 -3.670 2.821 -6.636 -0.178" Properties=species:S:1:pos:R:3 comment="InAs2Rh2 PBE relaxed" crystal_system=tetragonal e_form_ev_per_atom=-0.326 spacegroup="No. 139" e_tot_ev_per_cell=-28.370 pbc="T T T"
As -0.452 -3.274 -0.826
As -0.255 -7.216 -1.524
Rh -0.871 -5.500 0.117
Rh 0.164 -4.991 -2.467
In 0.000 0.000 0.000